# 1
Entry from Alexandria via LeMat-Bulk: a geometry-optimized SmDyHo2Er2 structure (PBE-GGA).

Results
Formation energy: 0.1651 eV/atom
M_tot: 0.04 μB per formula unit

Geometry as CIF:
```
data_SmDyHo2Er2
_chemical_formula_sum 'Sm2 Dy2 Ho4 Er4'
_symmetry_space_group_name_H-M 'P n n m'
_symmetry_Int_Tables_number 58
_cell_length_a 6.9271
_cell_length_b 15.9826
_cell_length_c 3.4961
_cell_angle_alpha 90.00
_cell_angle_beta 90.00
_cell_angle_gamma 90.00
loop_
_symmetry_equiv_pos_as_xyz
'x,y,z'
'-x,-y,-z'
'-x,-y,z'
'x,y,-z'
'x+1/2,-y+1/2,-z+1/2'
'-x+1/2,y+1/2,z+1/2'
'-x+1/2,y+1/2,-z+1/2'
'x+1/2,-y+1/2,z+1/2'
loop_
_atom_site_label
_atom_site_type_symbol
_atom_site_fract_x
_atom_site_fract_y
_atom_site_fract_z
Sm1 Sm 0.0000 0.0000 0.0000
Dy1 Dy 0.0000 0.5000 0.5000
Ho1 Ho 0.2495 0.3429 0.0000
Er1 Er 0.2500 0.1561 0.5000
```

***

# 2
Entry from Alexandria via LeMat-Bulk: a geometry-optimized Sm2Dy2HoEr structure (PBE-GGA).

Results
Formation energy: 0.2689 eV/atom
M_tot: 0.00 μB per formula unit

Geometry as CIF:
```
data_Sm2Dy2HoEr
_chemical_formula_sum 'Sm4 Dy4 Ho2 Er2'
_symmetry_space_group_name_H-M 'P n n m'
_symmetry_Int_Tables_number 58
_cell_length_a 6.5546
_cell_length_b 17.8264
_cell_length_c 3.3713
_cell_angle_alpha 90.00
_cell_angle_beta 90.00
_cell_angle_gamma 90.00
loop_
_symmetry_equiv_pos_as_xyz
'x,y,z'
'-x,-y,-z'
'-x,-y,z'
'x,y,-z'
'x+1/2,-y+1/2,-z+1/2'
'-x+1/2,y+1/2,z+1/2'
'-x+1/2,y+1/2,-z+1/2'
'x+1/2,-y+1/2,z+1/2'
loop_
_atom_site_label
_atom_site_type_symbol
_atom_site_fract_x
_atom_site_fract_y
_atom_site_fract_z
Sm1 Sm 0.2319 0.1843 0.0000
Dy1 Dy 0.2286 0.3538 0.5000
Ho1 Ho 0.0000 0.5000 0.0000
Er1 Er 0.0000 0.0000 0.0000
```

***

# 3
Entry from Alexandria via LeMat-Bulk: a geometry-optimized SmDy2HoEr4 structure (PBE-GGA).

Results
Formation energy: 0.0207 eV/atom
M_tot: 0.00 μB per formula unit

Geometry as CIF:
```
data_SmDy2HoEr4
_chemical_formula_sum 'Sm1 Dy2 Ho1 Er4'
_symmetry_space_group_name_H-M 'P 4/m m m'
_symmetry_Int_Tables_number 123
_symmetry_space_group_name_Hall '-P 4 2'
_cell_length_a 4.9921
_cell_length_b 4.9921
_cell_length_c 9.9848
_cell_angle_alpha 90.00
_cell_angle_beta 90.00
_cell_angle_gamma 90.00
loop_
_atom_site_label
_atom_site_type_symbol
_atom_site_fract_x
_atom_site_fract_y
_atom_site_fract_z
Sm1 Sm 0.0000 0.0000 0.0000
Dy1 Dy 0.0000 0.0000 0.5000
Dy2 Dy 0.5000 0.5000 0.0000
Ho1 Ho 0.5000 0.5000 0.5000
Er1 Er 0.0000 0.5000 0.2516
```

***

# 4
Entry from Alexandria via LeMat-Bulk: a geometry-optimized Sm4Dy2HoEr2 structure (PBE-GGA).

Results
Formation energy: 0.0196 eV/atom
M_tot: 0.00 μB per formula unit

Geometry as CIF:
```
data_Sm4Dy2HoEr2
_chemical_formula_sum 'Sm8 Dy4 Ho2 Er4'
_symmetry_space_group_name_H-M 'C 1 2/m 1'
_symmetry_Int_Tables_number 12
_cell_length_a 15.1586
_cell_length_b 5.0430
_cell_length_c 7.9802
_cell_angle_alpha 90.00
_cell_angle_beta 108.44
_cell_angle_gamma 90.00
loop_
_symmetry_equiv_pos_as_xyz
'x,y,z'
'-x,-y,-z'
'-x,y,-z'
'x,-y,z'
'x+1/2,y+1/2,z'
'-x+1/2,-y+1/2,-z'
'-x+1/2,y+1/2,-z'
'x+1/2,-y+1/2,z'
loop_
_atom_site_label
_atom_site_type_symbol
_atom_site_fract_x
_atom_site_fract_y
_atom_site_fract_z
Sm1 Sm 0.0546 0.0000 0.3314
Sm2 Sm 0.2225 0.5000 0.3320
Dy1 Dy 0.1114 0.5000 0.6689
Ho1 Ho 0.0000 0.5000 0.0000
Er1 Er 0.1670 0.0000 0.9998
```

***

What did the first record say?
Entry from Alexandria via LeMat-Bulk: a geometry-optimized SmDyHo2Er2 structure (PBE-GGA).

Results
Formation energy: 0.1651 eV/atom
M_tot: 0.04 μB per formula unit

Geometry as CIF:
```
data_SmDyHo2Er2
_chemical_formula_sum 'Sm2 Dy2 Ho4 Er4'
_symmetry_space_group_name_H-M 'P n n m'
_symmetry_Int_Tables_number 58
_cell_length_a 6.9271
_cell_length_b 15.9826
_cell_length_c 3.4961
_cell_angle_alpha 90.00
_cell_angle_beta 90.00
_cell_angle_gamma 90.00
loop_
_symmetry_equiv_pos_as_xyz
'x,y,z'
'-x,-y,-z'
'-x,-y,z'
'x,y,-z'
'x+1/2,-y+1/2,-z+1/2'
'-x+1/2,y+1/2,z+1/2'
'-x+1/2,y+1/2,-z+1/2'
'x+1/2,-y+1/2,z+1/2'
loop_
_atom_site_label
_atom_site_type_symbol
_atom_site_fract_x
_atom_site_fract_y
_atom_site_fract_z
Sm1 Sm 0.0000 0.0000 0.0000
Dy1 Dy 0.0000 0.5000 0.5000
Ho1 Ho 0.2495 0.3429 0.0000
Er1 Er 0.2500 0.1561 0.5000
```